SbI (PBE, relaxed); volume = 53.64 Å³/atom; magnetic moment = 0.00 μB per atom; total DFT energy (no corrections) = -2.951 eV per atom; uncorrected formation energy = -115 meV/atom
1.0
-9.4988 -7.0361 7.9135
10.2155 -8.8881 4.3592
0.8313 2.5620 3.2757
Sb I
8 8
direct
0.8032 0.7100 0.5000
0.1968 0.2900 0.5000
0.2900 0.8032 0.5000
0.7100 0.1968 0.5000
0.7957 0.3099 0.0000
0.2043 0.6901 0.0000
0.6901 0.7957 0.0000
0.3099 0.2043 0.0000
0.6919 0.5477 0.5000
0.3081 0.4523 0.5000
0.4523 0.6919 0.5000
0.5477 0.3081 0.5000
0.0448 0.8057 0.0000
0.9552 0.1943 0.0000
0.1943 0.0448 0.0000
0.8057 0.9552 0.0000